(1)
The following is a GGA-PBE calculation of Ti2Re2Se after structural relaxation, from the Alexandria database.

Results
E_form (uncorrected): -0.01 eV/atom
Spin magnetization: 1.5 μB/cell
ρ: 10.07 Mg/m³
Energy: -8.840 eV/atom
Space-group type: I4/mmm (139)

a = 3.507 Å, b = 3.507 Å, c = 7.744 Å
α = 76.91°, β = 76.91°, γ = 90.00°
Positions (direct):
1 Ti 0.400 0.400 0.200
2 Ti 0.600 0.600 0.800
3 Re 0.250 0.750 0.500
4 Re 0.750 0.250 0.500
5 Se 0.000 0.000 0.000

***

(2)
The following is a GGA-PBE calculation of CoCuRe2 after structural relaxation, from the Alexandria database.

Results
Spin magnetization: 0.0 μB/cell
ρ: 14.36 Mg/m³
Energy: -8.191 eV/atom
Energy relative to the elements: 0.83 eV/atom
Space-group type: I-42d (122)

a = 6.730 Å, b = 6.730 Å, c = 5.388 Å
α = 51.35°, β = 51.35°, γ = 90.00°
Positions (direct):
1 Re 0.375 0.402 0.750
2 Re 0.152 0.625 0.250
3 Re 0.875 0.848 0.750
4 Re 0.598 0.125 0.250
5 Co 0.500 0.500 0.000
6 Co 0.250 0.750 0.500
7 Cu 0.750 0.250 0.500
8 Cu 0.000 0.000 0.000

***

(3)
The following is a GGA-PBE calculation of DyLu3Cu after structural relaxation, from the Alexandria database.

Results
Spin magnetization: 0.0 μB/cell
ρ: 8.58 Mg/m³
Energy: -4.351 eV/atom
Energy relative to the elements: 0.10 eV/atom
Space-group type: Pm-3m (221)

a = 5.258 Å, b = 5.258 Å, c = 5.258 Å
α = 90.00°, β = 90.00°, γ = 90.00°
Positions (direct):
1 Cu 0.000 0.000 0.000
2 Lu 0.000 0.000 0.500
3 Lu 0.500 0.000 0.000
4 Lu 0.000 0.500 0.000
5 Dy 0.500 0.500 0.500

***

(4)
The following is a GGA-PBE calculation of MgOs3 after structural relaxation, from the Alexandria database.

Results
Spin magnetization: 3.5 μB/cell
ρ: 10.41 Mg/m³
Energy: -5.131 eV/atom
Energy relative to the elements: 3.69 eV/atom
Space-group type: Pm-3m (221)

a = 4.561 Å, b = 4.561 Å, c = 4.561 Å
α = 90.00°, β = 90.00°, γ = 90.00°
Positions (direct):
1 Os 0.000 0.000 0.500
2 Os 0.000 0.500 0.000
3 Os 0.500 0.000 0.000
4 Mg 0.000 0.000 0.000